1.
The following is a DFT calculation (GGA-PBE) of a geometry-optimized PmPaOsRu structure.

Geometry as POSCAR:
```
PmPaOsRu
1.0
0.000 3.465 3.465
3.465 0.000 3.465
3.465 3.465 0.000
Pm Pa Os Ru
1 1 1 1
Cartesian
0.000 0.000 0.000
3.465 3.465 3.465
1.733 1.733 1.733
5.198 5.198 5.198
```

Summary:
Calculated formation energy ... -174 meV/atom
Electronic total energy ... -8.862 eV per atom
N(E_F) ... 2.82 states/eV per cell
Space group ... No. 216
Total magnetization ... 0.000 Bohr magnetons per cell

2.
The following is a DFT calculation (GGA-PBE) of a geometry-optimized Ca2DyY2 structure.

Geometry as POSCAR:
```
Ca2DyY2
1.0
3.158 -1.823 0.000
3.158 1.823 0.000
-0.003 0.000 15.356
Ca Dy Y
2 1 2
Cartesian
1.045 0.000 5.999
5.268 0.000 9.356
3.158 0.000 0.000
1.039 0.000 12.520
5.274 0.000 2.836
```

Summary:
Calculated formation energy ... 42 meV/atom
Electronic total energy ... -4.265 eV per atom
N(E_F) ... 7.11 states/eV per cell
Space group ... No. 12
Total magnetization ... 0.000 Bohr magnetons per cell

3.
The following is a DFT calculation (GGA-PBE) of a geometry-optimized LiAcY structure.

Geometry as POSCAR:
```
LiAcY
1.0
-1.959 1.959 6.279
1.959 -1.959 6.279
1.959 1.959 -6.279
Li Ac Y
1 1 1
Cartesian
0.000 0.000 0.000
0.000 0.000 8.379
0.000 0.000 4.615
```

Summary:
Calculated formation energy ... 76 meV/atom
ΔE to the lowest computed polymorph ... 0 meV per atom
Electronic total energy ... -4.086 eV per atom
N(E_F) ... 3.09 states/eV per cell
Space group ... No. 107
Total magnetization ... 0.000 Bohr magnetons per cell